Entry from Alexandria via LeMat-Bulk: BeGa2ReHg after structural relaxation (PBE-GGA).

Cell: 4.3628 4.3237 4.3628 Å, 90.00 90.00 90.00°
Fractional coordinates of all 5 atoms:
1 Re 0.0000 0.5000 0.0000
2 Hg 0.5000 0.5000 0.5000
3 Ga 0.0000 0.0000 0.5000
4 Ga 0.5000 0.0000 0.0000
5 Be 0.0000 0.0000 0.0000

Computed properties:
For the total energy, the calculation gives -19.00 eV per cell. The calculated formation energy is 0.705 eV per atom. The space-group type is P4/mmm. Its crystal system is tetragonal.